VASP calculation (PBE) on crystalline CaMgTl2F6 at its relaxed geometry.

Results
For the raw total energy, the calculation gives -4.885 eV/atom. The value obtained for the raw formation energy is -2.930 eV/atom.

Cell and atoms, written as CIF:
```
data_CaMgTl2F6
_chemical_formula_sum 'Ca1 Mg1 Tl2 F6'
_space_group_name_H-M_alt 'P 4/m m m'
_space_group_IT_number 123
_space_group_name_Hall '-P 4 2'
_cell_length_a 4.3725
_cell_length_b 4.3725
_cell_length_c 8.5533
_cell_angle_alpha 90.00
_cell_angle_beta 90.00
_cell_angle_gamma 90.00
loop_
_atom_site_label
_atom_site_type_symbol
_atom_site_fract_x
_atom_site_fract_y
_atom_site_fract_z
Ca1 Ca 0.0000 0.0000 0.0000
Mg1 Mg 0.0000 0.0000 0.5000
Tl1 Tl 0.5000 0.5000 0.2636
F1 F 0.0000 0.0000 0.2715
F2 F 0.0000 0.5000 0.0000
F3 F 0.0000 0.5000 0.5000
```